Entry 1:
Compound: Er4ZnIr
Source: the Alexandria database
Functional: PBE
Structure: optimized geometry

Cell lengths 4.8314, 4.8314, 6.8606 Å; angles 90.00, 90.00, 90.00 degrees
Element x y z (fractional)
Er1 0.0000 0.5000 0.2385
Er2 0.0000 0.5000 0.7615
Er3 0.5000 0.0000 0.2385
Er4 0.5000 0.0000 0.7615
Zn1 0.0000 0.0000 0.5000
Ir1 0.5000 0.5000 0.0000

Summary:
* E_form: -357.7 meV per atom
* polymorph energy (0 for the lowest one): 158 meV per atom
* SG: P4/mmm, No. 123

Entry 2:
Compound: ErZn4Ir
Source: the Alexandria database
Functional: PBE
Structure: optimized geometry

Cell lengths 5.0900, 5.0900, 5.0900 Å; angles 60.00, 60.00, 60.00 degrees
Element x y z (fractional)
Er1 0.0000 0.0000 0.0000
Zn1 0.3759 0.3759 0.3759
Zn2 0.3759 0.3759 0.8722
Zn3 0.3759 0.8722 0.3759
Zn4 0.8722 0.3759 0.3759
Ir1 0.7500 0.7500 0.7500

Summary:
* E_form: -431.6 meV per atom
* SG: F-43m, No. 216

Entry 3:
Compound: Er3Zn9Ir2
Source: the Alexandria database
Functional: PBE
Structure: optimized geometry

Cell lengths 8.0392, 8.0392, 8.0392 Å; angles 148.87, 112.22, 76.46 degrees
Element x y z (fractional)
Er1 0.0000 0.0000 0.0000
Er2 0.3085 0.3085 0.0000
Er3 0.6915 0.6915 0.0000
Zn1 0.0250 0.6642 0.3608
Zn2 0.1501 0.8718 0.2783
Zn3 0.3035 0.6642 0.6392
Zn4 0.4065 0.1282 0.2783
Zn5 0.5000 0.0000 0.5000
Zn6 0.5935 0.8718 0.7217
Zn7 0.6965 0.3358 0.3608
Zn8 0.8499 0.1282 0.7217
Zn9 0.9750 0.3358 0.6392
Ir1 0.3161 0.5000 0.8161
Ir2 0.6839 0.5000 0.1839

Summary:
* E_form: -406.3 meV per atom
* SG: Immm, No. 71

Entry 4:
Compound: ErZnIr
Source: the Alexandria database
Functional: PBE
Structure: optimized geometry

Cell lengths 5.3271, 5.3271, 5.5034 Å; angles 90.00, 90.00, 133.68 degrees
Element x y z (fractional)
Er1 0.2109 0.7891 0.7500
Er2 0.7891 0.2109 0.2500
Zn1 0.5000 0.5000 0.0000
Zn2 0.5000 0.5000 0.5000
Ir1 0.0888 0.9112 0.2500
Ir2 0.9112 0.0888 0.7500

Summary:
* E_form: -706.7 meV per atom
* SG: Cmcm, No. 63

Entry 5:
Compound: ErZnIr
Source: the Alexandria database
Functional: PBE
Structure: optimized geometry

Cell lengths 5.3166, 5.3166, 5.3166 Å; angles 142.55, 142.55, 54.00 degrees
Element x y z (fractional)
Er1 0.0000 0.0000 0.0000
Zn1 0.6967 0.6967 0.0000
Ir1 0.3285 0.3285 0.0000

Summary:
* E_form: -507.7 meV per atom
* SG: I4mm, No. 107

Entry 6:
Compound: ErZr2Ir3
Source: the Alexandria database
Functional: PBE
Structure: optimized geometry

Cell lengths 3.3976, 3.3976, 9.6860 Å; angles 90.00, 90.00, 90.00 degrees
Element x y z (fractional)
Er1 0.0000 0.0000 0.0000
Zr1 0.0000 0.0000 0.3351
Zr2 0.0000 0.0000 0.6649
Ir1 0.5000 0.5000 0.1798
Ir2 0.5000 0.5000 0.5000
Ir3 0.5000 0.5000 0.8202

Summary:
* E_form: -824.7 meV per atom
* SG: P4/mmm, No. 123